Version i
VASP calculation (PBE) on a relaxed In3TeP crystal.

a = 5.771 Å, b = 5.771 Å, c = 5.771 Å
α = 90.00°, β = 90.00°, γ = 90.00°
Fractional coordinates of all 5 atoms:
In  0.000  0.000  0.500
In  0.000  0.500  0.000
In  0.500  0.000  0.000
Te  0.000  0.000  0.000
P  0.500  0.500  0.500

Computed properties:
Space-group type: Pm-3m, No. 221

Version ii
VASP calculation (PBE) on a relaxed In3TeP crystal.

a = 5.325 Å, b = 5.325 Å, c = 5.325 Å
α = 90.00°, β = 90.00°, γ = 90.00°
Fractional coordinates of all 5 atoms:
In  0.000  0.000  0.500
In  0.000  0.500  0.000
In  0.500  0.000  0.000
Te  0.500  0.500  0.500
P  0.000  0.000  0.000

Computed properties:
Space-group type: Pm-3m, No. 221

Result of the stability comparison: version ii is the most stable of them.

Version i
VASP calculation (PBE) on a relaxed InTe3P3 crystal.

a = 9.722 Å, b = 3.646 Å, c = 11.372 Å
α = 90.00°, β = 108.72°, γ = 90.00°
Fractional coordinates of all 14 atoms:
In  0.156  0.250  0.326
In  0.844  0.750  0.674
Te  0.029  0.250  0.909
Te  0.144  0.750  0.575
Te  0.472  0.750  0.365
Te  0.528  0.250  0.635
Te  0.856  0.250  0.425
Te  0.971  0.750  0.091
P  0.372  0.750  0.030
P  0.382  0.250  0.905
P  0.404  0.750  0.729
P  0.596  0.250  0.271
P  0.618  0.750  0.095
P  0.628  0.250  0.970

Computed properties:
Space-group type: P2_1/m, No. 11

Version ii
VASP calculation (PBE) on a relaxed InTe3P3 crystal.

a = 9.739 Å, b = 5.450 Å, c = 10.011 Å
α = 90.00°, β = 118.67°, γ = 90.00°
Fractional coordinates of all 14 atoms:
In  0.174  0.250  0.344
In  0.826  0.750  0.656
Te  0.057  0.750  0.550
Te  0.067  0.250  0.014
Te  0.490  0.750  0.443
Te  0.510  0.250  0.557
Te  0.933  0.750  0.986
Te  0.943  0.250  0.450
P  0.320  0.750  0.990
P  0.434  0.250  0.872
P  0.453  0.750  0.873
P  0.547  0.250  0.127
P  0.566  0.750  0.128
P  0.680  0.250  0.010

Computed properties:
Space-group type: P2_1/m, No. 11

Result of the stability comparison: version i is the most stable of them.